(1)
An optimized crystal structure of AcTlGe2Au5, computed with PBE.

Lattice parameters (Å, degrees): 5.0604 5.0604 8.2297 90.00 90.00 90.00
Space group P4/mmm (No. 123)
Symmetry-distinct sites (fractional):
Ac 0.0000 0.0000 0.0000 [1 per cell]
Tl 0.0000 0.0000 0.5000 [1 per cell]
Ge 0.5000 0.5000 0.3321 [2 per cell]
Au 0.0000 0.5000 0.2514 [4 per cell]
Au 0.5000 0.5000 0.0000 [1 per cell]

## Properties
The formation enthalpy at 0 K is -0.268 eV per atom. The calculated total energy is -3.834 eV/atom. The crystal system is tetragonal. For the density of states at the Fermi level, the calculation gives 5.0 states/eV per cell.

***

(2)
An optimized crystal structure of AcTlGeAu, computed with PBE.

Lattice parameters (Å, degrees): 7.5232 7.5232 7.5232 90.00 90.00 90.00
Space group F-43m (No. 216)
Symmetry-distinct sites (fractional):
Ac 0.0000 0.0000 0.0000 [4 per cell]
Tl 0.0000 0.0000 0.5000 [4 per cell]
Ge 0.2500 0.2500 0.2500 [4 per cell]
Au 0.2500 0.2500 0.7500 [4 per cell]

## Properties
The formation enthalpy at 0 K is -0.397 eV per atom. The calculated total energy is -3.989 eV/atom. The crystal system is cubic. For the density of states at the Fermi level, the calculation gives 5.1 states/eV per cell.

***

Question: The lowest calculated total energy belongs to which entry?
Answer: AcTlGeAu

***

Question: Which of these has the lowest calculated total energy?
Answer: AcTlGeAu

***

Copy entry 1 word for word.
An optimized crystal structure of AcTlGe2Au5, computed with PBE.

Lattice parameters (Å, degrees): 5.0604 5.0604 8.2297 90.00 90.00 90.00
Space group P4/mmm (No. 123)
Symmetry-distinct sites (fractional):
Ac 0.0000 0.0000 0.0000 [1 per cell]
Tl 0.0000 0.0000 0.5000 [1 per cell]
Ge 0.5000 0.5000 0.3321 [2 per cell]
Au 0.0000 0.5000 0.2514 [4 per cell]
Au 0.5000 0.5000 0.0000 [1 per cell]

## Properties
The formation enthalpy at 0 K is -0.268 eV per atom. The calculated total energy is -3.834 eV/atom. The crystal system is tetragonal. For the density of states at the Fermi level, the calculation gives 5.0 states/eV per cell.